# 1
## Na2Te2I (SCAN)

Data for a crystal of Na2Te2I relaxed with PBEsol.

```
Na2Te2I
1.0
-2.9854 2.9854 4.7415
2.9854 -2.9854 4.7415
2.9854 2.9854 -4.7415
Na Te I
2 2 1
Cartesian
2.9854 0.0000 2.3708
0.0000 2.9854 2.3708
0.0000 0.0000 1.3627
0.0000 0.0000 8.1204
0.0000 0.0000 4.7415
```

Properties
**Distance to the lowest polymorph of the same formula**: 0 meV/atom

# 2
## YZn2Cu (SCAN)

Data for a crystal of YZn2Cu relaxed with PBEsol.

```
YZn2Cu
1.0
0.0000 3.2075 3.2075
3.2075 0.0000 3.2075
3.2075 3.2075 0.0000
Y Zn Cu
1 2 1
Cartesian
0.0000 0.0000 0.0000
3.2075 3.2075 3.2075
4.8113 4.8113 4.8113
1.6038 1.6038 1.6038
```

Properties
**Formation energy**: -0.306 eV per atom

# 3
## SrMoO2F (SCAN)

Data for a crystal of SrMoO2F relaxed with PBEsol.

```
SrMoO2F
1.0
3.9810 0.0000 0.0000
0.0000 3.9810 0.0000
0.0000 0.0000 4.1465
Sr Mo O F
1 1 2 1
Cartesian
0.0000 0.0000 0.0000
1.9905 1.9905 2.0733
0.0000 1.9905 2.0733
1.9905 0.0000 2.0733
1.9905 1.9905 0.0000
```

Properties
**DFT total energy**: -85.1 eV/f.u.

# 4
## InNi2Bi2 (SCAN)

Data for a crystal of InNi2Bi2 relaxed with PBEsol.

```
InNi2Bi2
1.0
-1.7555 1.7555 8.8044
1.7555 -1.7555 8.8044
1.7555 1.7555 -8.8044
In Ni Bi
1 2 2
Cartesian
0.0000 0.0000 0.0000
1.7555 0.0000 4.4022
0.0000 1.7555 4.4022
0.0000 0.0000 6.3858
0.0000 0.0000 11.2230
```

Properties
**Formation energy**: 0.179 eV per atom